First-principles (PBE) data for a geometry-optimized LiInBPt2 structure, as listed in Alexandria via LeMat-Bulk.

The structure in POSCAR format:
```
LiInBPt2
1.0
-1.180 -1.429 -3.788
0.912 -3.938 1.202
-3.958 -0.484 1.415
B Pt In Li
1 2 1 1
direct
0.000 0.000 0.000 B
0.500 0.000 0.000 Pt
0.000 0.500 0.000 Pt
0.500 0.500 0.500 In
0.000 0.000 0.500 Li
```

Its electronic total energy is -24.96 eV per cell.

=====

First-principles (PBE) data for a geometry-optimized LiInB2Pt5 structure, as listed in Alexandria via LeMat-Bulk.

The structure in POSCAR format:
```
LiInB2Pt5
1.0
3.969 0.000 0.000
0.000 3.969 0.000
0.000 0.000 9.478
Pt B In Li
5 2 1 1
direct
0.500 0.000 0.788 Pt
0.500 0.000 0.212 Pt
0.500 0.500 0.500 Pt
0.000 0.500 0.212 Pt
0.000 0.500 0.788 Pt
0.500 0.500 0.282 B
0.500 0.500 0.718 B
0.000 0.000 0.000 In
0.000 0.000 0.500 Li
```

Its electronic total energy is -51.12 eV per cell.

=====

First-principles (PBE) data for a geometry-optimized RbLi2InB structure, as listed in Alexandria via LeMat-Bulk.

The structure in POSCAR format:
```
RbLi2InB
1.0
5.614 0.000 0.000
0.000 6.437 0.000
0.000 0.000 5.614
B Rb In Li
1 1 1 2
direct
0.500 0.500 0.500 B
0.000 0.000 0.000 Rb
0.000 0.500 0.000 In
0.000 0.000 0.500 Li
0.500 0.000 0.000 Li
```

Its electronic total energy is -5.33 eV per cell.

=====

First-principles (PBE) data for a geometry-optimized Li2In2BRh4 structure, as listed in Alexandria via LeMat-Bulk.

The structure in POSCAR format:
```
Li2In2BRh4
1.0
-4.740 -0.755 2.968
4.122 -3.821 0.500
3.412 4.263 1.424
Rh In Li B
4 2 2 1
direct
0.501 0.750 0.750 Rh
0.000 0.250 0.750 Rh
0.000 0.750 0.250 Rh
0.499 0.250 0.250 Rh
0.500 0.250 0.750 In
0.500 0.750 0.250 In
0.000 0.279 0.279 Li
0.000 0.721 0.721 Li
0.000 0.000 0.000 B
```

Its electronic total energy is -49.18 eV per cell.

=====

First-principles (PBE) data for a geometry-optimized LiInBRh2 structure, as listed in Alexandria via LeMat-Bulk.

The structure in POSCAR format:
```
LiInBRh2
1.0
-0.559 0.529 4.032
-3.903 -1.215 -0.382
1.153 -3.916 0.673
Rh In B Li
2 1 1 1
direct
0.500 0.000 0.000 Rh
0.000 0.500 0.000 Rh
0.500 0.500 0.500 In
0.000 0.000 0.000 B
0.000 0.000 0.500 Li
```

Its electronic total energy is -28.08 eV per cell.

=====

First-principles (PBE) data for a geometry-optimized Li3In2BRh3 structure, as listed in Alexandria via LeMat-Bulk.

The structure in POSCAR format:
```
Li3In2BRh3
1.0
-2.522 0.633 -1.423
2.270 -3.608 -5.625
-3.675 -3.285 5.052
Li Rh In B
3 3 2 1
direct
0.000 0.352 0.000 Li
0.000 0.000 0.352 Li
0.000 0.648 0.648 Li
0.500 0.767 0.000 Rh
0.500 0.233 0.233 Rh
0.500 0.000 0.767 Rh
0.500 0.667 0.333 In
0.500 0.333 0.667 In
0.000 0.000 0.000 B
```

Its electronic total energy is -43.42 eV per cell.

=====

First-principles (PBE) data for a geometry-optimized Li2InBS4 structure, as listed in Alexandria via LeMat-Bulk.

The structure in POSCAR format:
```
Li2InBS4
1.0
-6.983 -0.345 -3.079
-1.294 -0.353 7.521
3.430 6.199 -1.836
S Li In B
8 4 2 2
direct
0.840 0.857 0.052 S
0.357 0.340 0.552 S
0.185 0.774 0.449 S
0.643 0.660 0.448 S
0.726 0.315 0.051 S
0.160 0.143 0.948 S
0.815 0.226 0.551 S
0.274 0.685 0.949 S
0.500 0.500 0.000 Li
0.500 0.000 0.500 Li
0.500 0.000 0.000 Li
0.000 0.000 0.500 Li
0.000 0.500 0.000 In
0.000 0.500 0.500 In
0.500 0.500 0.500 B
0.000 0.000 0.000 B
```

Its uncorrected formation energy is -628 meV per atom. Its electronic total energy is -69.55 eV per cell.

=====

First-principles (PBE) data for a geometry-optimized LiInBTe2 structure, as listed in Alexandria via LeMat-Bulk.

The structure in POSCAR format:
```
LiInBTe2
1.0
-2.901 3.797 -3.560
-3.751 -1.370 1.596
0.275 4.181 4.236
In B Te Li
1 1 2 1
direct
0.000 0.000 0.000 In
0.000 0.500 0.000 B
0.000 0.000 0.500 Te
0.500 0.000 0.000 Te
0.500 0.500 0.500 Li
```

Its uncorrected formation energy is 628 meV per atom. Its electronic total energy is -14.47 eV per cell.

=====

First-principles (PBE) data for a geometry-optimized Mg2InB structure, as listed in Alexandria via LeMat-Bulk.

The structure in POSCAR format:
```
Mg2InB
1.0
5.717 0.000 0.000
0.000 5.717 0.000
2.859 2.859 6.502
B In Mg
2 2 4
direct
0.500 0.500 0.000 B
0.250 0.750 0.500 B
0.000 0.000 0.000 In
0.750 0.250 0.500 In
0.456 0.125 0.250 Mg
0.294 0.625 0.250 Mg
0.375 0.544 0.750 Mg
0.875 0.706 0.750 Mg
```

Its electronic total energy is -19.03 eV per cell.

=====

First-principles (PBE) data for a geometry-optimized MgInB structure, as listed in Alexandria via LeMat-Bulk.

The structure in POSCAR format:
```
MgInB
1.0
3.158 0.002 -0.005
1.654 10.479 0.072
0.008 -0.716 3.741
B Mg In
2 2 2
direct
0.723 0.701 0.354 B
0.216 0.722 0.365 B
0.572 0.928 0.470 Mg
0.961 0.121 0.066 Mg
0.343 0.307 0.658 In
0.627 0.569 0.788 In
```

Its electronic total energy is -20.55 eV per cell.

=====

First-principles (PBE) data for a geometry-optimized MgInB structure, as listed in Alexandria via LeMat-Bulk.

The structure in POSCAR format:
```
MgInB
1.0
-4.484 4.200 0.222
-2.073 -2.309 1.861
0.307 3.157 4.258
Mg B In
2 2 2
direct
0.904 0.999 0.207 Mg
0.362 0.999 0.438 Mg
0.627 0.499 0.473 B
0.639 0.499 0.172 B
0.360 0.499 0.945 In
0.906 0.499 0.700 In
```

Its electronic total energy is -20.58 eV per cell.

=====

First-principles (PBE) data for a geometry-optimized Mg2InB structure, as listed in Alexandria via LeMat-Bulk.

The structure in POSCAR format:
```
Mg2InB
1.0
-1.931 -3.164 -2.868
-4.264 0.756 -1.792
-0.488 0.961 -4.561
Mg B In
2 1 1
direct
0.750 0.750 0.750 Mg
0.250 0.250 0.250 Mg
0.000 0.000 0.000 B
0.500 0.500 0.500 In
```

Its electronic total energy is -10.13 eV per cell.